Compound: P2WCl
Source: Alexandria via LeMat-Bulk
Functional: PBE
Structure: relaxed

Structure (extended XYZ):
```
4
Lattice="5.919 0.011 0.000 3.275 4.930 0.000 -4.002 -3.578 2.493" Properties=species:S:1:pos:R:3 pbc="T T T"
P 4.032 2.167 0.000
W 1.935 1.912 1.247
Cl 3.257 -0.548 1.247
P 0.565 0.304 0.000
```

The relative energy among the computed polymorphs comes out at 681 meV/atom. The symmetry is Immm. Its energy relative to the elements, uncorrected is 0.550 eV per atom. The calculation puts the volume at 73 Å³ per cell.

Compound: YMg2Rh
Source: Alexandria via LeMat-Bulk
Functional: PBE
Structure: relaxed

Structure (extended XYZ):
```
4
Lattice="-3.104 -1.877 3.181 -0.133 1.680 4.521 -3.782 2.594 1.499" Properties=species:S:1:pos:R:3 pbc="T T T"
Rh -3.510 1.198 4.601
Mg -1.755 0.599 2.300
Mg -5.265 1.797 6.901
Y 0.000 0.000 0.000
```

The symmetry is Fm-3m. The calculation puts the volume at 79 Å³ per cell. The formation energy comes out at -0.2058 eV/atom.

Compound: RbNa12Tl5
Source: Alexandria via LeMat-Bulk
Functional: PBE
Structure: relaxed

Structure (extended XYZ):
```
18
Lattice="8.874 -0.856 -3.456 -5.079 7.837 -2.051 -0.071 0.856 9.523" Properties=species:S:1:pos:R:3 pbc="T T T"
Na 2.642 5.129 -0.163
Na 4.164 4.444 3.378
Na 7.103 1.240 3.453
Na -0.858 5.985 6.996
Na 3.049 1.240 0.659
Tl -0.052 6.781 0.075
Tl 3.776 1.056 3.942
Na 4.583 1.852 -2.980
Na -0.440 3.394 0.638
Tl 1.300 2.391 -1.886
Tl 2.495 4.590 -3.621
Na -3.207 8.065 4.653
Tl 0.000 0.000 0.000
Rb -2.575 4.347 3.736
Na 0.676 6.598 3.358
Na -3.378 6.598 0.563
Na 1.083 2.708 4.180
Na 6.931 -0.228 -0.636
```

The symmetry is Immm. The calculation puts the volume at 650 Å³ per cell. The formation energy comes out at -0.0264 eV/atom.

Compound: Cd12GaHg3
Source: Alexandria via LeMat-Bulk
Functional: PBE
Structure: relaxed

Structure (extended XYZ):
```
16
Lattice="-4.287 2.513 -1.129 -1.956 -2.933 0.903 4.870 2.989 20.306" Properties=species:S:1:pos:R:3 pbc="T T T"
Cd -0.687 1.284 10.040
Ga 0.000 0.000 0.000
Hg -5.035 0.315 4.782
Cd -3.444 2.159 6.906
Cd 2.070 0.409 13.173
Hg 2.435 1.494 10.153
Cd -3.122 -0.210 -0.113
Cd 2.130 3.876 17.277
Cd -1.054 0.201 13.060
Cd -0.413 -1.085 2.886
Cd 0.542 2.036 15.168
Cd -3.503 -1.307 2.802
Cd -1.916 0.533 4.911
Hg 3.661 2.253 15.297
Cd -0.961 3.654 17.193
Cd -0.319 2.368 7.020
```

The symmetry is P-1. The calculation puts the volume at 368 Å³ per cell. The formation energy comes out at 0.0071 eV/atom.

Compound: Cs3Ac2ThSe6
Source: Alexandria via LeMat-Bulk
Functional: PBE
Structure: relaxed

Structure (extended XYZ):
```
12
Lattice="-0.794 -0.324 -7.802 3.135 -6.061 3.879 -8.452 -1.247 2.230" Properties=species:S:1:pos:R:3 pbc="T T T"
Se 0.099 -5.029 -2.504
Th 0.000 0.000 0.000
Ac 1.824 -4.147 -0.017
Se -4.366 -6.871 0.594
Cs -4.355 -1.919 -4.709
Se -0.504 -2.575 1.406
Cs -1.757 -5.713 3.015
Se -6.211 -2.603 0.811
Ac 0.516 -2.237 -3.906
Se -5.608 -5.057 -3.099
Cs -3.056 -3.816 -0.847
Se -1.746 -0.761 -2.287
```

The symmetry is C2/m. Its energy relative to the elements, uncorrected is -1.700 eV per atom. The calculation puts the volume at 450 Å³ per cell.

Compound: LaSm2Er5Sc
Source: Alexandria via LeMat-Bulk
Functional: PBE
Structure: relaxed

Structure (extended XYZ):
```
18
Lattice="-8.203 -2.829 0.277 1.250 -2.830 8.111 1.251 9.547 -1.507" Properties=species:S:1:pos:R:3 pbc="T T T"
Er -0.312 6.282 -0.512
La -1.113 3.358 1.343
Er -2.788 0.435 2.475
Sm -6.462 -4.244 5.257
Er 1.072 5.129 3.518
Er -4.297 4.606 0.376
Er 0.000 0.000 0.000
Er -1.405 -0.719 6.505
Er -5.391 -2.395 7.393
La -4.589 0.529 5.538
Sm -0.490 -1.415 3.131
Sm -2.031 -3.577 7.260
Sm -4.922 -2.082 1.128
Er -3.476 -2.830 4.194
Er -6.774 -1.241 3.363
Sc -0.488 1.943 5.399
Er -2.914 3.453 4.406
Sc -5.214 1.944 1.482
```

The symmetry is I4/mcm. The calculation puts the volume at 570 Å³ per cell. The formation energy comes out at 0.2735 eV/atom.